Computed, not measured: a PBEsol-optimized structure of TaHgAs2Se at the SCAN level of DFT.

Values from the calculation:
Total energy   -38.86 eV/atom
Size of the total moment   0.0933 μB/atom
Formation energy (no corrections)   17 kJ/mol of atoms

Unit cell a=5.014 b=5.014 c=4.888 alpha=90.00 beta=90.00 gamma=90.00
Space group P4/mmm (No. 123)
Inequivalent atoms, fractional coordinates:
Ta: 0.000 0.000 0.000 (multiplicity 1)
Hg: 0.500 0.500 0.500 (multiplicity 1)
As: 0.000 0.500 0.000 (multiplicity 2)
Se: 0.000 0.000 0.500 (multiplicity 1)